Computed, not measured: a geometry-optimized MnZnO2 structure at the GGA+U level of DFT.

Cell: 6.196 3.235 5.799 Å, 91.91 89.13 74.89°
Last column: magnetic moment on the atom in μB.
Element x y z (fractional)
O (0.253, 0.403, 0.985)  0.03
O (0.785, 0.032, 0.178)  0.05
O (0.589, 0.628, 0.703)  0.05
O (0.117, 0.185, 0.474)  0.08
Mn (0.247, 0.636, 0.647)  4.59
Mn (0.781, 0.550, 0.407)  4.59
Zn (0.127, 0.973, 0.140)  0.02
Zn (0.595, 0.134, 0.914)  0.02

Output
* VASP energy: -6.078 eV/atom
* M_tot: 10.0 Bohr magnetons per cell